{"formula": "Rb12Sn3H5", "functional": "PBE", "state": "relaxed", "lattice": [[16.745, 0.000, 0.000], [-5.582, 15.788, 0.000], [-5.582, -7.894, 13.672]], "species": ["Rb", "Rb", "Rb", "Rb", "Rb", "Rb", "Rb", "Rb", "Rb", "Rb", "Rb", "Rb", "Rb", "Rb", "Rb", "Rb", "Rb", "Rb", "Rb", "Rb", "Rb", "Rb", "Rb", "Rb", "Rb", "Rb", "Rb", "Rb", "Rb", "Rb", "Rb", "Rb", "Rb", "Rb", "Rb", "Rb", "Rb", "Rb", "Rb", "Rb", "Rb", "Rb", "Rb", "Rb", "Rb", "Rb", "Rb", "Rb", "H", "H", "H", "H", "H", "H", "H", "H", "H", "H", "H", "H", "H", "H", "H", "H", "H", "H", "H", "H", "Sn", "Sn", "Sn", "Sn", "Sn", "Sn", "Sn", "Sn", "Sn", "Sn", "Sn", "Sn"], "frac_coords": [[0.916, 0.819, 0.797], [0.084, 0.181, 0.203], [0.097, 0.181, 0.478], [0.797, 0.478, 0.381], [0.097, 0.916, 0.119], [0.903, 0.084, 0.881], [0.203, 0.522, 0.619], [0.703, 0.584, 0.181], [0.478, 0.681, 0.097], [0.522, 0.319, 0.903], [0.797, 0.319, 0.916], [0.584, 0.881, 0.403], [0.597, 0.619, 0.416], [0.319, 0.522, 0.403], [0.403, 0.022, 0.319], [0.703, 0.119, 0.022], [0.619, 0.597, 0.916], [0.181, 0.084, 0.703], [0.916, 0.097, 0.619], [0.119, 0.416, 0.097], [0.522, 0.203, 0.119], [0.022, 0.403, 0.819], [0.619, 0.022, 0.203], [0.584, 0.703, 0.681], [0.119, 0.703, 0.522], [0.203, 0.681, 0.084], [0.319, 0.797, 0.416], [0.881, 0.584, 0.903], [0.416, 0.297, 0.319], [0.084, 0.903, 0.381], [0.416, 0.119, 0.597], [0.297, 0.416, 0.819], [0.978, 0.597, 0.181], [0.903, 0.819, 0.522], [0.881, 0.297, 0.478], [0.597, 0.978, 0.681], [0.381, 0.403, 0.084], [0.381, 0.978, 0.797], [0.478, 0.797, 0.881], [0.297, 0.881, 0.978], [0.819, 0.916, 0.297], [0.681, 0.478, 0.597], [0.819, 0.903, 0.022], [0.978, 0.381, 0.297], [0.403, 0.381, 0.584], [0.022, 0.619, 0.703], [0.681, 0.203, 0.584], [0.181, 0.097, 0.978], [0.375, 0.250, 0.125], [0.875, 0.625, 0.750], [0.500, 0.000, 0.000], [0.625, 0.875, 0.250], [0.000, 0.000, 0.000], [0.125, 0.375, 0.250], [0.500, 0.500, 0.500], [0.125, 0.750, 0.375], [0.875, 0.250, 0.625], [0.000, 0.500, 0.500], [0.250, 0.875, 0.125], [0.625, 0.750, 0.875], [0.000, 0.000, 0.500], [0.250, 0.375, 0.625], [0.000, 0.500, 0.000], [0.750, 0.125, 0.875], [0.500, 0.000, 0.500], [0.500, 0.500, 0.000], [0.750, 0.625, 0.375], [0.375, 0.125, 0.750], [0.750, 0.375, 0.125], [0.375, 0.750, 0.625], [0.875, 0.750, 0.125], [0.250, 0.125, 0.375], [0.875, 0.125, 0.250], [0.125, 0.875, 0.750], [0.250, 0.625, 0.875], [0.750, 0.875, 0.625], [0.625, 0.250, 0.375], [0.625, 0.375, 0.750], [0.125, 0.250, 0.875], [0.375, 0.625, 0.250]], "energy_ev_per_atom": -2.028, "total_magnetization_mub_per_atom": 0.25}